A plane-wave DFT calculation with GGA-PBE was carried out for a relaxed structure of Ta2InPb.

Cell: 3.4793 4.7663 5.0182 Å, 90.00 90.00 90.00°
Atoms (fractional coordinates):
Ta 0.0000 0.0000 0.0000
Ta 0.5000 0.0000 0.5000
In 0.0000 0.5000 0.5000
Pb 0.5000 0.5000 0.0000

Output
The total energy comes out at -0.51923 Ry per atom. Its space group is Pmmm. The energy of formation from the pure elements comes out at 0.474 eV per atom. The calculated density is 13.6 g/cm3.